# Pm2PuRh3, optimized geometry, DFT PBE
# Magnetic moment (μB per formula unit): 4.62
# E_form (eV per atom): -0.572
# Total DFT energy (no corrections) (eV/atom): -8.220
# Energy relative to the lowest polymorph listed for this composition (eV/atom): 0.000
data_Pm2PuRh3
_chemical_formula_sum 'Pm2 Pu1 Rh3'
_cell_length_a 3.484
_cell_length_b 3.484
_cell_length_c 10.503
_cell_angle_alpha 90.00
_cell_angle_beta 90.00
_cell_angle_gamma 90.00
_space_group_name_H-M_alt 'P 1'
_space_group_IT_number 1
loop_
_space_group_symop_operation_xyz
'x,y,z'
loop_
_atom_site_label
_atom_site_type_symbol
_atom_site_fract_x
_atom_site_fract_y
_atom_site_fract_z
Pm1 Pm 0.000 0.000 0.169
Pm2 Pm 0.000 0.000 0.831
Pu1 Pu 0.000 0.000 0.500
Rh1 Rh 0.500 0.500 0.000
Rh2 Rh 0.500 0.500 0.345
Rh3 Rh 0.500 0.500 0.655